# 1
This record from the Alexandria database describes NaIn3S after structural relaxation. The functional is GGA-PBE. Values from VASP.

Values from the calculation:
formation energy without anion corrections: 552.6 meV/atom
volume: 33.5 Å³ per atom
total moment: 0.000 μB per atom
ΔE to the lowest computed polymorph: 0.4347 eV per atom
total DFT energy (no corrections): -0.08010 hartree per atom

```
&SYSTEM
  ibrav = 0, nat = 5, ntyp = 3
/
ATOMIC_SPECIES
Na 22.99 Na.upf
S 32.06 S.upf
In 114.82 In.upf
ATOMIC_POSITIONS crystal
Na 0.000 0.000 0.000
S 0.500 0.500 0.500
In 0.000 0.500 0.000
In 0.000 0.000 0.500
In 0.500 0.000 0.000
CELL_PARAMETERS angstrom
5.511 0.000 0.000
0.000 5.511 0.000
0.000 0.000 5.511
```


# 2
This record from the Alexandria database describes NaInS after structural relaxation. The functional is GGA-PBE. Values from VASP.

Values from the calculation:
formation energy without anion corrections: -489.6 meV/atom
volume: 26.7 Å³ per atom
total moment: 0.000 μB per atom
ΔE to the lowest computed polymorph: 0.1847 eV per atom
total DFT energy (no corrections): -0.11826 hartree per atom

```
&SYSTEM
  ibrav = 0, nat = 12, ntyp = 3
/
ATOMIC_SPECIES
Na 22.99 Na.upf
S 32.06 S.upf
In 114.82 In.upf
ATOMIC_POSITIONS crystal
Na 0.629 0.629 0.258
Na 0.371 0.371 0.742
Na 0.621 0.121 0.242
Na 0.879 0.379 0.758
S 0.937 0.437 0.500
S 0.687 0.687 0.000
S 0.563 0.063 0.500
S 0.313 0.313 0.000
In 0.125 0.375 0.250
In 0.125 0.875 0.750
In 0.125 0.875 0.250
In 0.625 0.875 0.750
CELL_PARAMETERS angstrom
-3.039 -6.367 0.143
-0.217 -2.432 -6.621
7.695 1.523 4.096
```


# 3
This record from the Alexandria database describes Na3InS3 after structural relaxation. The functional is GGA-PBE. Values from VASP.

Values from the calculation:
formation energy without anion corrections: -927.1 meV/atom
volume: 25.3 Å³ per atom
total moment: 0.000 μB per atom
ΔE to the lowest computed polymorph: 0.0582 eV per atom
total DFT energy (no corrections): -0.13423 hartree per atom

```
&SYSTEM
  ibrav = 0, nat = 14, ntyp = 3
/
ATOMIC_SPECIES
Na 22.99 Na.upf
In 114.82 In.upf
S 32.06 S.upf
ATOMIC_POSITIONS crystal
Na 0.605 0.605 0.360
Na 0.178 0.822 0.500
Na 0.822 0.178 0.500
Na 0.247 0.753 0.000
Na 0.753 0.247 0.000
Na 0.395 0.395 0.640
In 0.804 0.804 0.866
In 0.196 0.196 0.134
S 0.897 0.897 0.220
S 0.832 0.513 0.725
S 0.513 0.832 0.725
S 0.168 0.487 0.275
S 0.487 0.168 0.275
S 0.103 0.103 0.780
CELL_PARAMETERS angstrom
-2.064 7.053 -1.270
-1.281 -2.438 6.930
6.753 1.674 1.293
```